# YAs2Au

YAs2Au after structural relaxation (GGA-PBE, the Alexandria database).

abc: 3.687 3.687 6.804
angles: 90.00 90.00 108.51
Sites, in units of the cell vectors:
Y: 0.000 0.000 0.000
As: 0.500 0.500 0.266
As: 0.500 0.500 0.734
Au: 0.000 0.000 0.500

* symmetry: Cmmm, No. 65
* density: 8.2 Mg/m³
* energy relative to the elements: -150 kJ/mol of formula units
* crystal system: orthorhombic

# YAs2Au

YAs2Au after structural relaxation (GGA-PBE, the Alexandria database).

abc: 4.901 4.901 4.901
angles: 60.00 60.00 60.00
Sites, in units of the cell vectors:
Y: 0.000 0.000 0.000
As: 0.250 0.250 0.250
As: 0.750 0.750 0.750
Au: 0.500 0.500 0.500

* symmetry: Fm-3m, No. 225
* density: 8.7 Mg/m³
* energy relative to the elements: -144 kJ/mol of formula units
* crystal system: cubic

# Y2AsAu

Y2AsAu after structural relaxation (GGA-PBE, the Alexandria database).

abc: 6.205 6.205 6.205
angles: 140.88 140.86 56.54
Sites, in units of the cell vectors:
Y: 0.000 0.000 0.000
Y: 0.750 0.250 0.500
As: 0.249 0.749 0.500
Au: 0.500 0.500 0.000

* symmetry: Imm2, No. 44
* density: 7.9 Mg/m³
* energy relative to the elements: -339 kJ/mol of formula units
* crystal system: orthorhombic

# YAsAu2

YAsAu2 after structural relaxation (GGA-PBE, the Alexandria database).

abc: 3.926 3.931 5.869
angles: 90.00 109.31 90.00
Sites, in units of the cell vectors:
Y: 0.000 0.000 0.000
As: 0.562 0.500 0.125
Au: 0.315 0.500 0.633
Au: 0.736 0.000 0.471

* symmetry: Pm, No. 6
* density: 10.8 Mg/m³
* energy relative to the elements: -250 kJ/mol of formula units
* crystal system: monoclinic

# YAs2Au

YAs2Au after structural relaxation (GGA-PBE, the Alexandria database).

abc: 4.053 4.053 10.074
angles: 90.00 90.00 90.00
Sites, in units of the cell vectors:
Y: 0.250 0.250 0.230
Y: 0.750 0.750 0.770
As: 0.250 0.250 0.694
As: 0.250 0.750 0.000
As: 0.750 0.250 0.000
As: 0.750 0.750 0.306
Au: 0.250 0.750 0.500
Au: 0.750 0.250 0.500

* symmetry: P4/nmm, No. 129
* density: 8.7 Mg/m³
* energy relative to the elements: -285 kJ/mol of formula units
* crystal system: tetragonal

# YAsAu2

YAsAu2 after structural relaxation (GGA-PBE, the Alexandria database).

abc: 3.808 4.381 5.466
angles: 90.00 107.76 90.00
Sites, in units of the cell vectors:
Y: 0.000 0.000 0.000
As: 0.500 0.000 0.500
Au: 0.331 0.500 0.733
Au: 0.669 0.500 0.267

* symmetry: P2/m, No. 10
* density: 10.7 Mg/m³
* energy relative to the elements: -220 kJ/mol of formula units
* crystal system: monoclinic

# YAs2Au

YAs2Au after structural relaxation (GGA-PBE, the Alexandria database).

abc: 5.731 5.731 4.150
angles: 106.72 106.72 43.96
Sites, in units of the cell vectors:
Y: 0.000 0.000 0.000
As: 0.453 0.453 0.452
As: 0.678 0.678 0.926
Au: 0.266 0.266 0.733

* symmetry: Cm, No. 8
* density: 8.0 Mg/m³
* energy relative to the elements: -258 kJ/mol of formula units
* crystal system: monoclinic

# YAsAu3

YAsAu3 after structural relaxation (GGA-PBE, the Alexandria database).

abc: 5.488 5.488 5.488
angles: 90.00 90.00 90.00
Sites, in units of the cell vectors:
Y: 0.000 0.000 0.000
As: 0.500 0.500 0.500
Au: 0.000 0.000 0.500
Au: 0.000 0.500 0.000
Au: 0.500 0.000 0.000

* symmetry: Pm-3m, No. 221
* density: 7.6 Mg/m³
* energy relative to the elements: 377 kJ/mol of formula units
* crystal system: cubic
* offset from the most stable computed form: 819 meV/atom

# Y2AsAu

Y2AsAu after structural relaxation (GGA-PBE, the Alexandria database).

abc: 4.254 5.889 5.889
angles: 40.46 90.00 90.00
Sites, in units of the cell vectors:
Y: 0.000 0.000 0.000
Y: 0.500 0.277 0.277
As: 0.500 0.547 0.547
Au: 0.000 0.731 0.731

* symmetry: Amm2, No. 38
* density: 7.8 Mg/m³
* energy relative to the elements: -413 kJ/mol of formula units
* crystal system: orthorhombic

# YAs2Au

YAs2Au after structural relaxation (GGA-PBE, the Alexandria database).

abc: 6.245 6.245 6.245
angles: 39.58 39.58 39.58
Sites, in units of the cell vectors:
Y: 0.000 0.000 0.000
As: 0.243 0.243 0.243
As: 0.757 0.757 0.757
Au: 0.500 0.500 0.500

* symmetry: R-3m, No. 166
* density: 8.1 Mg/m³
* energy relative to the elements: -173 kJ/mol of formula units
* crystal system: trigonal

# YAs2Au

YAs2Au after structural relaxation (GGA-PBE, the Alexandria database).

abc: 10.131 10.131 10.131
angles: 155.18 155.18 35.39
Sites, in units of the cell vectors:
Y: 0.000 0.000 0.000
Y: 0.750 0.250 0.500
As: 0.184 0.625 0.059
As: 0.375 0.434 0.559
As: 0.566 0.125 0.941
As: 0.875 0.816 0.441
Au: 0.250 0.750 0.500
Au: 0.500 0.500 0.000

* symmetry: I-42d, No. 122
* density: 7.9 Mg/m³
* energy relative to the elements: -148 kJ/mol of formula units
* crystal system: tetragonal

# Y2AsAu

Y2AsAu after structural relaxation (GGA-PBE, the Alexandria database).

abc: 7.863 7.863 7.863
angles: 30.95 30.95 30.95
Sites, in units of the cell vectors:
Y: 0.000 0.000 0.000
Y: 0.188 0.188 0.188
As: 0.732 0.732 0.732
Au: 0.453 0.453 0.453

* symmetry: R3m, No. 160
* density: 6.5 Mg/m³
* energy relative to the elements: -212 kJ/mol of formula units
* crystal system: trigonal

# YAsAu2

YAsAu2 after structural relaxation (GGA-PBE, the Alexandria database).

abc: 11.145 11.145 11.145
angles: 159.15 159.15 29.65
Sites, in units of the cell vectors:
Y: 0.000 0.000 0.000
Y: 0.750 0.250 0.500
As: 0.250 0.750 0.500
As: 0.500 0.500 0.000
Au: 0.131 0.625 0.006
Au: 0.375 0.381 0.506
Au: 0.619 0.125 0.994
Au: 0.875 0.869 0.494

* symmetry: I-42d, No. 122
* density: 10.6 Mg/m³
* energy relative to the elements: -228 kJ/mol of formula units
* crystal system: tetragonal

# YAsAu2

YAsAu2 after structural relaxation (GGA-PBE, the Alexandria database).

abc: 4.049 4.049 5.047
angles: 90.00 90.00 90.00
Sites, in units of the cell vectors:
Y: 0.000 0.000 0.000
As: 0.500 0.500 0.000
Au: 0.000 0.500 0.500
Au: 0.500 0.000 0.500

* symmetry: P4/mmm, No. 123
* density: 11.2 Mg/m³
* energy relative to the elements: -257 kJ/mol of formula units
* crystal system: tetragonal

# Y2AsAu

Y2AsAu after structural relaxation (GGA-PBE, the Alexandria database).

abc: 11.922 11.922 4.195
angles: 90.00 90.00 160.50
Sites, in units of the cell vectors:
Y: 0.070 0.930 0.750
Y: 0.312 0.688 0.750
Y: 0.688 0.312 0.250
Y: 0.930 0.070 0.250
As: 0.190 0.810 0.750
As: 0.810 0.190 0.250
Au: 0.455 0.545 0.750
Au: 0.545 0.455 0.250

* symmetry: Cmcm, No. 63
* density: 7.5 Mg/m³
* energy relative to the elements: -452 kJ/mol of formula units
* crystal system: orthorhombic

# Y2AsAu

Y2AsAu after structural relaxation (GGA-PBE, the Alexandria database).

abc: 4.104 4.104 7.414
angles: 105.95 105.95 59.81
Sites, in units of the cell vectors:
Y: 0.245 0.245 0.236
Y: 0.755 0.755 0.764
As: 0.500 0.500 0.000
Au: 0.000 0.000 0.500

* symmetry: C2/m, No. 12
* density: 7.3 Mg/m³
* energy relative to the elements: -419 kJ/mol of formula units
* crystal system: monoclinic

# Y2AsAu2

Y2AsAu2 after structural relaxation (GGA-PBE, the Alexandria database).

abc: 7.615 7.615 3.997
angles: 90.00 90.00 90.00
Sites, in units of the cell vectors:
Y: 0.174 0.326 0.000
Y: 0.326 0.826 0.000
Y: 0.674 0.174 0.000
Y: 0.826 0.674 0.000
As: 0.000 0.000 0.500
As: 0.500 0.500 0.500
Au: 0.129 0.629 0.500
Au: 0.371 0.129 0.500
Au: 0.629 0.871 0.500
Au: 0.871 0.371 0.500

* symmetry: P4/mbm, No. 127
* density: 9.3 Mg/m³
* energy relative to the elements: -385 kJ/mol of formula units
* crystal system: tetragonal
* offset from the most stable computed form: 0 meV/atom

# YAs2Au

YAs2Au after structural relaxation (GGA-PBE, the Alexandria database).

abc: 3.894 3.894 5.949
angles: 90.00 90.00 90.00
Sites, in units of the cell vectors:
Y: 0.000 0.000 0.000
As: 0.500 0.500 0.212
As: 0.500 0.500 0.788
Au: 0.000 0.000 0.500

* symmetry: P4/mmm, No. 123
* density: 8.0 Mg/m³
* energy relative to the elements: -161 kJ/mol of formula units
* crystal system: tetragonal

# Y2AsAu

Y2AsAu after structural relaxation (GGA-PBE, the Alexandria database).

abc: 3.703 4.995 5.013
angles: 90.00 90.00 90.00
Sites, in units of the cell vectors:
Y: 0.000 0.000 0.000
Y: 0.000 0.500 0.500
As: 0.500 0.000 0.500
Au: 0.500 0.500 0.000

* symmetry: Pmmm, No. 47
* density: 8.1 Mg/m³
* energy relative to the elements: -369 kJ/mol of formula units
* crystal system: orthorhombic

# Y2AsAu2

Y2AsAu2 after structural relaxation (GGA-PBE, the Alexandria database).

abc: 7.885 7.885 3.944
angles: 90.00 90.00 90.00
Sites, in units of the cell vectors:
Y: 0.173 0.327 0.000
Y: 0.327 0.827 0.000
Y: 0.673 0.173 0.000
Y: 0.827 0.673 0.000
As: 0.000 0.000 0.000
As: 0.500 0.500 0.000
Au: 0.127 0.627 0.500
Au: 0.373 0.127 0.500
Au: 0.627 0.873 0.500
Au: 0.873 0.373 0.500

* symmetry: P4/mbm, No. 127
* density: 8.8 Mg/m³
* energy relative to the elements: -361 kJ/mol of formula units
* crystal system: tetragonal
* offset from the most stable computed form: 50 meV/atom